A geometry-optimized BaSr2CaPd structure. Source: Alexandria via LeMat-Bulk, functional PBE.

Cell lengths 6.114, 6.114, 5.883 Å; angles 90.00, 90.00, 90.00 degrees
Positions (direct):
Sr1 0.000 0.500 0.000
Ba1 0.500 0.500 0.500
Pd1 0.000 0.000 0.000
Ca1 0.000 0.000 0.500
Sr2 0.500 0.000 0.000

The formation energy is -0.285 eV/atom. The value obtained for the total magnetization is 0.00 μB/f.u. The density comes out at 3.5 g/cm3. The space-group type is P4/mmm (123).

---

A geometry-optimized BaSr2CaPd structure. Source: Alexandria via LeMat-Bulk, functional PBE.

Cell lengths 6.544, 6.508, 6.544 Å; angles 90.00, 90.00, 90.00 degrees
Site moments in Bohr magnetons follow the coordinates.
Positions (direct):
Ca1 0.000 0.000 0.000  0.32
Pd1 0.500 0.500 0.500  0.04
Ba1 0.000 0.500 0.000  0.28
Sr1 0.500 0.000 0.000  0.11
Sr2 0.000 0.000 0.500  0.13

The formation energy is 0.923 eV/atom. The value obtained for the total magnetization is 2.78 μB/f.u. The density comes out at 2.7 g/cm3. The space-group type is P4/mmm (123).

---

A geometry-optimized BaSr2CaPd structure. Source: Alexandria via LeMat-Bulk, functional PBE.

Cell lengths 6.075, 6.075, 6.267 Å; angles 90.00, 90.00, 90.00 degrees
Positions (direct):
Sr1 0.500 0.000 0.000
Ba1 0.000 0.000 0.500
Ca1 0.500 0.500 0.500
Pd1 0.000 0.000 0.000
Sr2 0.000 0.500 0.000

The formation energy is -0.250 eV/atom. The value obtained for the total magnetization is 0.00 μB/f.u. The density comes out at 3.3 g/cm3. The space-group type is P4/mmm (123).

---

A geometry-optimized BaSrCa2Pd structure. Source: Alexandria via LeMat-Bulk, functional PBE.

Cell lengths 5.841, 5.841, 6.220 Å; angles 90.00, 90.00, 90.00 degrees
Positions (direct):
Ca1 0.000 0.500 0.000
Ba1 0.000 0.000 0.500
Sr1 0.500 0.500 0.500
Pd1 0.000 0.000 0.000
Ca2 0.500 0.000 0.000

The formation energy is -0.277 eV/atom. The value obtained for the total magnetization is 0.00 μB/f.u. The density comes out at 3.2 g/cm3. The space-group type is P4/mmm (123).

---

A geometry-optimized BaSrCa2Pd structure. Source: Alexandria via LeMat-Bulk, functional PBE.

Cell lengths 5.852, 5.852, 6.058 Å; angles 90.00, 90.00, 90.00 degrees
Positions (direct):
Sr1 0.000 0.000 0.500
Ba1 0.500 0.500 0.500
Ca1 0.500 0.000 0.000
Ca2 0.000 0.500 0.000
Pd1 0.000 0.000 0.000

The formation energy is -0.294 eV/atom. The value obtained for the total magnetization is 0.00 μB/f.u. The density comes out at 3.3 g/cm3. The space-group type is P4/mmm (123).

---

A geometry-optimized Ba2SrCaPd structure. Source: Alexandria via LeMat-Bulk, functional PBE.

Cell lengths 7.021, 5.210, 7.021 Å; angles 90.00, 90.00, 90.00 degrees
Site moments in Bohr magnetons follow the coordinates.
Positions (direct):
Ba1 0.000 0.000 0.500  0.10
Pd1 0.000 0.500 0.000  0.02
Ca1 0.500 0.500 0.500  0.02
Sr1 0.000 0.000 0.000  0.07
Ba2 0.500 0.000 0.000  0.08

The formation energy is 0.411 eV/atom. The value obtained for the total magnetization is 0.93 μB/f.u. The density comes out at 3.3 g/cm3. The space-group type is P4/mmm (123).

---

A geometry-optimized Ba2SrCaPd structure. Source: Alexandria via LeMat-Bulk, functional PBE.

Cell lengths 6.349, 6.349, 5.872 Å; angles 90.00, 90.00, 90.00 degrees
Positions (direct):
Pd1 0.000 0.000 0.000
Sr1 0.500 0.500 0.500
Ca1 0.000 0.000 0.500
Ba1 0.500 0.000 0.000
Ba2 0.000 0.500 0.000

The formation energy is -0.257 eV/atom. The value obtained for the total magnetization is 0.00 μB/f.u. The density comes out at 3.6 g/cm3. The space-group type is P4/mmm (123).

---

A geometry-optimized BaCa2TiPd structure. Source: Alexandria via LeMat-Bulk, functional PBE.

Cell lengths 5.598, 6.067, 5.598 Å; angles 90.00, 90.00, 90.00 degrees
Site moments in Bohr magnetons follow the coordinates.
Positions (direct):
Ca1 0.000 0.000 0.500  0.02
Pd1 0.000 0.000 0.000  0.04
Ba1 0.000 0.500 0.000  0.07
Ca2 0.500 0.000 0.000  0.03
Ti1 0.500 0.500 0.500  2.00

The formation energy is 0.261 eV/atom. The value obtained for the total magnetization is 3.36 μB/f.u. The density comes out at 3.2 g/cm3. The space-group type is P4/mmm (123).